This record from Alexandria describes a relaxed structure of Zr3RuBr. The functional is GGA-PBEsol.

- E: -0.527 Ry/atom
- Total magnetic moment: 0.0000 μB per atom
- Relative energy among the computed polymorphs: 398 meV/atom
- Formation energy from raw total energies: 0.698 eV/atom

Cell: 4.803 4.803 4.803 Å, 90.00 90.00 90.00°
Fractional coordinates of all 5 atoms:
Br1 0.000 0.000 0.000
Zr1 0.000 0.500 0.000
Zr2 0.000 0.000 0.500
Zr3 0.500 0.000 0.000
Ru1 0.500 0.500 0.500

This record from Alexandria describes a relaxed structure of ScTlZn. The functional is GGA-PBEsol.

- E: -0.271 Ry/atom
- Total magnetic moment: 0.0000 μB per atom

Cell: 4.557 4.557 4.557 Å, 60.00 60.00 60.00°
Fractional coordinates of all 3 atoms:
Sc1 0.500 0.500 0.500
Tl1 0.750 0.750 0.750
Zn1 0.000 0.000 0.000

Q: What is the total magnetic moment in the first record?
A: 0.0000 μB per atom